Entry 1:
VASP calculation (GGA-PBE) on crystalline Te2PdPb2 at its relaxed geometry.

Computed properties:
Final energy   -19.3 eV/f.u.
Symmetry   P4/mbm (127)
Density of states at the Fermi level   0.422 states/eV/atom
Formation energy without anion corrections   -9 kJ/mol of atoms

Cell and atoms, written as POSCAR:
```
Te2PdPb2
1.0
7.7917 0.0000 0.0000
0.0000 7.7917 0.0000
0.0000 0.0000 4.8787
Pd Pb Te
2 4 4
Direct
0.0000 0.0000 0.0000
0.5000 0.5000 0.0000
0.6522 0.8478 0.5000
0.1522 0.6522 0.5000
0.8478 0.3478 0.5000
0.3478 0.1522 0.5000
0.1803 0.3197 0.0000
0.8197 0.6803 0.0000
0.6803 0.1803 0.0000
0.3197 0.8197 0.0000
```

Entry 2:
VASP calculation (GGA-PBE) on crystalline NaTm2Ni at its relaxed geometry.

Computed properties:
Distance to the lowest polymorph of the same formula   0.00 eV per formula unit
Final energy   -16.6 eV/f.u.
Symmetry   P4/mmm (123)
Density of states at the Fermi level   0.652 states/eV/atom
Energy of formation   -0.13 eV/atom

Cell and atoms, written as POSCAR:
```
NaTm2Ni
1.0
-2.9337 0.7264 -1.3794
0.5133 -2.3256 -2.3163
-4.1862 -6.4225 5.5208
Tm Na Ni
2 1 1
Direct
0.0000 0.0000 0.1693
0.0000 0.0000 0.8307
0.5000 0.5000 0.5000
0.5000 0.5000 0.0000
```

Entry 3:
VASP calculation (GGA-PBE) on crystalline La5Nd2SmEr at its relaxed geometry.

Computed properties:
Final energy   -41.0 eV/f.u.
Symmetry   I4/mcm (140)
Density of states at the Fermi level   1.909 states/eV/atom
Energy of formation   0.27 eV/atom

Cell and atoms, written as POSCAR:
```
La5Nd2SmEr
1.0
-0.4558 -8.2917 3.4726
7.9059 1.2853 4.1066
-7.5227 6.3949 2.6165
La Er Nd Sm
10 2 4 2
Direct
0.0000 0.0000 0.0000
0.9287 0.4287 0.2835
0.5000 0.5000 0.0000
0.5713 0.6452 0.7165
0.3548 0.8548 0.2835
0.4287 0.3548 0.2835
0.8548 0.9287 0.2835
0.6452 0.1452 0.7165
0.0713 0.5713 0.7165
0.1452 0.0713 0.7165
0.7500 0.2500 0.5000
0.2500 0.7500 0.5000
0.6166 0.1166 0.0000
0.3834 0.8834 0.0000
0.8834 0.6166 0.0000
0.1166 0.3834 0.0000
0.2500 0.2500 0.5000
0.7500 0.7500 0.5000
```

Entry 4:
VASP calculation (GGA-PBE) on crystalline Sm3BiSe at its relaxed geometry.

Computed properties:
Distance to the lowest polymorph of the same formula   0.00 eV per formula unit
Final energy   -27.0 eV/f.u.
Symmetry   Pnma (62)
Density of states at the Fermi level   0.558 states/eV/atom
Formation energy without anion corrections   -105 kJ/mol of atoms

Cell and atoms, written as POSCAR:
```
Sm3BiSe
1.0
-3.3362 2.1473 -1.5896
-3.4822 0.5810 8.0933
7.6273 13.5589 2.3084
Se Sm Bi
4 12 4
Direct
0.2500 0.3226 0.9477
0.7500 0.1774 0.4477
0.7500 0.6774 0.0523
0.2500 0.8226 0.5523
0.2500 0.3426 0.5324
0.7500 0.1574 0.0324
0.7500 0.5240 0.8895
0.2500 0.9760 0.3895
0.2500 0.1875 0.7827
0.7500 0.0240 0.6105
0.2500 0.6875 0.7173
0.2500 0.8426 0.9676
0.7500 0.6574 0.4676
0.7500 0.3125 0.2827
0.7500 0.8125 0.2173
0.2500 0.4760 0.1105
0.2500 0.5905 0.3146
0.7500 0.4095 0.6854
0.7500 0.9095 0.8146
0.2500 0.0905 0.1854
```

Entry 5:
VASP calculation (GGA-PBE) on crystalline Dy3Ho2Pd3 at its relaxed geometry.

Computed properties:
Final energy   -43.6 eV/f.u.
Symmetry   Immm (71)
Density of states at the Fermi level   0.905 states/eV/atom
Energy of formation   -0.64 eV/atom

Cell and atoms, written as POSCAR:
```
Dy3Ho2Pd3
1.0
-2.4160 2.4721 -0.7630
-2.9174 -1.6405 3.9224
7.5223 6.3131 4.8461
Ho Pd Dy
2 3 3
Direct
0.2740 0.7740 0.5480
0.7260 0.2260 0.4520
0.1151 0.1151 0.2302
0.8849 0.8849 0.7698
0.0000 0.5000 0.0000
0.3839 0.3839 0.7679
0.5000 0.0000 0.0000
0.6161 0.6161 0.2321
```

Entry 6:
VASP calculation (GGA-PBE) on crystalline FeCoRu at its relaxed geometry.

Computed properties:
Distance to the lowest polymorph of the same formula   0.08 eV per formula unit
Final energy   -24.4 eV/f.u.
Symmetry   P-6m2 (187)
Density of states at the Fermi level   1.238 states/eV/atom
Energy of formation   0.15 eV/atom

Cell and atoms, written as POSCAR:
```
FeCoRu
1.0
4.0349 0.0000 0.0000
-2.0175 3.4943 0.0000
0.0000 0.0000 2.5509
Ru Fe Co
1 1 1
Direct
0.3333 0.6667 0.6663
0.6667 0.3333 0.1672
0.0000 0.0000 0.1665
```

Entry 7:
VASP calculation (GGA-PBE) on crystalline Nb2TlOs at its relaxed geometry.

Computed properties:
Distance to the lowest polymorph of the same formula   0.46 eV per formula unit
Final energy   -31.4 eV/f.u.
Symmetry   I-42d (122)
Density of states at the Fermi level   0.916 states/eV/atom
Energy of formation   0.59 eV/atom

Cell and atoms, written as POSCAR:
```
Nb2TlOs
1.0
-3.8091 -2.3789 6.2440
3.9027 -6.6261 -0.1437
2.0109 -3.3809 4.6757
Nb Os Tl
4 2 2
Direct
0.8750 0.8189 0.7500
0.3750 0.4311 0.7500
0.5689 0.1250 0.2500
0.1811 0.6250 0.2500
0.5000 0.5000 0.0000
0.2500 0.7500 0.5000
0.7500 0.2500 0.5000
0.0000 0.0000 0.0000
```

Entry 8:
VASP calculation (GGA-PBE) on crystalline Ac7Tb2Ho at its relaxed geometry.

Computed properties:
Final energy   -36.3 eV/f.u.
Symmetry   Cmmm (65)
Density of states at the Fermi level   1.389 states/eV/atom
Energy of formation   0.63 eV/atom

Cell and atoms, written as POSCAR:
```
Ac7Tb2Ho
1.0
6.0722 0.0000 0.0000
0.0000 9.5349 1.5092
0.0000 2.9264 9.1993
Ac Tb Ho
7 2 1
Direct
0.5000 0.0621 0.6922
0.5000 0.9379 0.3078
0.5000 0.6922 0.0621
0.5000 0.3078 0.9379
0.0000 0.2407 0.2407
0.0000 0.7593 0.7593
0.5000 0.5000 0.5000
0.5000 0.7017 0.7017
0.5000 0.2983 0.2983
0.0000 0.0000 0.0000
```

Entry 9:
VASP calculation (GGA-PBE) on crystalline KBa2Os at its relaxed geometry.

Computed properties:
Distance to the lowest polymorph of the same formula   0.29 eV per formula unit
Final energy   -13.7 eV/f.u.
Symmetry   Cm (8)
Density of states at the Fermi level   1.380 states/eV/atom
Energy of formation   0.62 eV/atom

Cell and atoms, written as POSCAR:
```
KBa2Os
1.0
-4.5134 0.8281 0.8125
-2.9976 0.3852 -3.5472
-4.4129 -10.1110 -0.5072
Ba Os K
2 1 1
Direct
0.7139 0.7139 0.8520
0.9488 0.9488 0.1462
0.3325 0.3325 0.9960
0.5048 0.5048 0.5058
```

Entry 10:
VASP calculation (GGA-PBE) on crystalline YZrSc2I at its relaxed geometry.

Computed properties:
Final energy   -26.3 eV/f.u.
Symmetry   P4/mmm (123)
Density of states at the Fermi level   1.197 states/eV/atom
Formation energy without anion corrections   56 kJ/mol of atoms

Cell and atoms, written as POSCAR:
```
YZrSc2I
1.0
-4.9882 -0.8912 1.2586
-0.3131 -3.8754 -3.9848
1.5140 -3.6411 3.4221
Zr Y Sc I
1 1 2 1
Direct
0.0000 0.0000 0.0000
0.5000 0.5000 0.5000
0.5000 0.0000 0.0000
0.0000 0.0000 0.5000
0.0000 0.5000 0.0000
```

Entry 11:
VASP calculation (GGA-PBE) on crystalline VIr4 at its relaxed geometry.

Computed properties:
Distance to the lowest polymorph of the same formula   0.00 eV per formula unit
Final energy   -42.6 eV/f.u.
Symmetry   Fmmm (69)
Density of states at the Fermi level   1.353 states/eV/atom
Energy of formation   0.39 eV/atom

Cell and atoms, written as POSCAR:
```
VIr4
1.0
-1.8552 4.6088 -0.0173
-2.4950 -4.9538 -1.4523
-0.1538 2.4866 4.2984
Ir V
4 1
Direct
0.2500 0.5000 0.7500
0.7500 0.5000 0.2500
0.6566 0.3133 0.6566
0.3434 0.6867 0.3434
0.0000 0.0000 0.0000
```

Entry 12:
VASP calculation (GGA-PBE) on crystalline Ba2LiAgI6 at its relaxed geometry.

Computed properties:
Final energy   -31.3 eV/f.u.
Symmetry   P2_1/c (14)
Density of states at the Fermi level   0.000 states/eV/atom
Formation energy without anion corrections   -130 kJ/mol of atoms

Cell and atoms, written as POSCAR:
```
Ba2LiAgI6
1.0
-1.8415 5.3632 5.3578
-8.6319 -1.1331 -1.8325
-0.5826 -8.0281 7.7086
I Ba Li Ag
12 4 2 2
Direct
0.6805 0.3278 0.5536
0.6704 0.3171 0.9445
0.8824 0.5222 0.2500
0.3195 0.6722 0.4464
0.1704 0.1829 0.4445
0.3824 0.9778 0.7500
0.1805 0.1722 0.0536
0.1176 0.4778 0.7500
0.3296 0.6829 0.0555
0.6176 0.0222 0.2500
0.8195 0.8278 0.9464
0.8296 0.8171 0.5555
0.0435 0.8874 0.2502
0.5435 0.6126 0.7502
0.4565 0.3874 0.2498
0.9565 0.1126 0.7498
0.0000 0.5000 0.5000
0.5000 0.0000 0.0000
0.0000 0.5000 0.0000
0.5000 0.0000 0.5000
```